Pu2FeF8: relaxed, PBE+U. Values from VASP.

Geometry as Quantum ESPRESSO input:
```
&SYSTEM
  ibrav = 0, nat = 11, ntyp = 3
/
ATOMIC_SPECIES
F 19.00 F.upf
Fe 55.84 Fe.upf
Pu 244.00 Pu.upf
CELL_PARAMETERS angstrom
3.5432 0.0000 -0.8909
-0.1394 6.4318 -0.5545
-0.1370 -0.5279 6.9463
ATOMIC_POSITIONS crystal
F 0.5984 0.5663 0.1968
F 0.3342 0.0040 0.6684
F 0.2050 0.3446 0.4100
F 0.0215 0.8256 0.0431
F 0.7950 0.6554 0.5900
F 0.6658 0.9960 0.3316
F 0.4016 0.4337 0.8032
F 0.9785 0.1744 0.9569
Fe 0.5000 0.0000 0.0000
Pu 0.1831 0.7114 0.3663
Pu 0.8169 0.2886 0.6337
```

Results
SG: No. 12
uncorrected energy: -7.673 eV/atom